# 1
{
  "formula": "Nd6GeIr2Br3",
  "functional": "PBE",
  "state": "relaxed",
  "magnetic_moment_mub_per_cell": 0.00,
  "space_group": "C2/m, No. 12",
  "final_energy_ev_per_atom": -5.74,
  "cell": [[7.3300, -0.0002, 0.0001], [-3.6634, 6.3489, 0.0001], [-1.2227, -2.1171, 7.6693]],
  "species": ["Br", "Br", "Br", "Ir", "Ir", "Nd", "Nd", "Nd", "Nd", "Nd", "Nd", "Ge"],
  "frac_coords": [[0.8379, 0.1621, 0.5000], [0.5000, 0.5000, 0.5000], [0.1621, 0.8379, 0.5000], [0.6670, 0.3330, 0.0000], [0.3330, 0.6670, 0.0000], [0.7188, 0.7188, 0.1999], [0.9338, 0.5863, 0.7996], [0.0662, 0.4137, 0.2004], [0.5863, 0.9338, 0.7996], [0.4137, 0.0662, 0.2004], [0.2812, 0.2812, 0.8001], [0.0000, 0.0000, 0.0000]]
}

# 2
{
  "formula": "Nd4GeIrBr2",
  "functional": "PBE",
  "state": "relaxed",
  "magnetic_moment_mub_per_cell": 0.00,
  "space_group": "P2/m, No. 10",
  "final_energy_ev_per_atom": -5.56,
  "cell": [[4.1864, 0.0000, 0.0000], [0.0000, 7.5890, 0.2396], [0.0000, -2.5565, 7.4218]],
  "species": ["Ir", "Br", "Br", "Nd", "Nd", "Nd", "Nd", "Ge"],
  "frac_coords": [[0.0000, 0.0000, 0.0000], [0.5000, 0.0000, 0.5000], [0.0000, 0.5000, 0.5000], [0.0000, 0.2516, 0.7961], [0.5000, 0.7785, 0.8013], [0.5000, 0.2215, 0.1987], [0.0000, 0.7484, 0.2039], [0.5000, 0.5000, 0.0000]]
}

| no. | density of states at the Fermi level (states/eV per cell) |
| --- | --- |
| 1 | 7.86 |
| 2 | 6.38 |